[1]
Computed, not measured: a relaxed CsSnTe2I crystal at the PBE-GGA level of DFT.

a = 5.8070 Å, b = 5.8070 Å, c = 6.4400 Å
α = 90.00°, β = 90.00°, γ = 90.00°
Space group P4/mmm (No. 123)
Inequivalent atoms, fractional coordinates:
Cs 0.0000 0.0000 0.0000 (multiplicity 1)
Sn 0.5000 0.5000 0.5000 (multiplicity 1)
Te 0.0000 0.5000 0.5000 (multiplicity 2)
I 0.5000 0.5000 0.0000 (multiplicity 1)

## Properties
Raw formation energy, kJ/mol of atoms: -43.8
ΔE to the lowest computed polymorph, meV per atom: 0
Total moment, μB/f.u.: 0.000
Total energy, eV per atom: -2.99



[2]
Computed, not measured: a relaxed Cs2TiSnI6 crystal at the PBE-GGA level of DFT.

a = 12.1250 Å, b = 12.1250 Å, c = 12.1250 Å
α = 90.00°, β = 90.00°, γ = 90.00°
Space group Fm-3m (No. 225)
Inequivalent atoms, fractional coordinates:
Cs 0.2500 0.2500 0.2500 (multiplicity 8)
Ti 0.0000 0.0000 0.0000 (multiplicity 4)
Sn 0.0000 0.0000 0.5000 (multiplicity 4)
I 0.0000 0.0000 0.2396 (multiplicity 24)

## Properties
Raw formation energy, kJ/mol of atoms: -89.0
Total moment, μB/f.u.: 2.000
Total energy, eV per atom: -3.21



> raw formation energy of number 2 (Cs2TiSnI6)?

-89.0 kJ/mol of atoms



> Number 1 is which compound?

CsSnTe2I



> Which of these has the highest raw formation energy?

CsSnTe2I



> raw formation energy of number 2 (Cs2TiSnI6)?

-89.0 kJ/mol of atoms